## Dy12Ga6C (GGA-PBE)

Data for a geometry-optimized Dy12Ga6C structure.

Unit cell a=7.932 b=7.932 c=7.932 alpha=93.91 beta=93.91 gamma=93.91
Fractional positions:
Ga  0.740  0.353  0.145
Ga  0.260  0.647  0.855
Ga  0.647  0.855  0.260
Ga  0.353  0.145  0.740
Ga  0.145  0.740  0.353
Ga  0.855  0.260  0.647
Dy  0.196  0.421  0.546
Dy  0.924  0.704  0.037
Dy  0.804  0.579  0.454
Dy  0.704  0.037  0.924
Dy  0.579  0.454  0.804
Dy  0.421  0.546  0.196
Dy  0.546  0.196  0.421
Dy  0.296  0.963  0.076
Dy  0.076  0.296  0.963
Dy  0.963  0.076  0.296
Dy  0.454  0.804  0.579
Dy  0.037  0.924  0.704
C  0.000  0.000  0.000

Calculated values
- ΔH_f (0 K) (eV/atom) = -0.3740
- space-group type = R-3